Compound: Y2RuAu
Source: Alexandria
Functional: meta-GGA SCAN
Structure: single point on PBEsol structure

```
Y2RuAu
1.0
3.410 0.000 0.000
0.000 3.410 0.000
0.000 0.000 7.063
Y Ru Au
2 1 1
Direct
0.000 0.000 0.233
0.000 0.000 0.767
0.500 0.500 0.000
0.500 0.500 0.500
```

total DFT energy (no corrections)	-162.9	eV for the cell shown
crystal system	tetragonal
ρ	9.62	g/cm³
E_form	-0.80	eV/atom
total magnetic moment	0.0	μB/f.u.
Fermi-level density of states	2.16	states/eV per cell



Compound: Y2RuAu
Source: Alexandria
Functional: meta-GGA SCAN
Structure: single point on PBEsol structure

```
Y2RuAu
1.0
0.000 3.446 3.446
3.446 0.000 3.446
3.446 3.446 0.000
Y Ru Au
2 1 1
Direct
0.250 0.250 0.250
0.750 0.750 0.750
0.000 0.000 0.000
0.500 0.500 0.500
```

total DFT energy (no corrections)	-162.6	eV for the cell shown
crystal system	cubic
ρ	9.66	g/cm³
E_form	-0.74	eV/atom
total magnetic moment	0.0	μB/f.u.
Fermi-level density of states	2.02	states/eV per cell



Compound: Zn2RuAu
Source: Alexandria
Functional: meta-GGA SCAN
Structure: single point on PBEsol structure

```
Zn2RuAu
1.0
3.099 0.000 0.000
0.000 3.099 0.000
0.000 0.000 5.872
Zn Ru Au
2 1 1
Direct
0.000 0.000 0.232
0.000 0.000 0.768
0.500 0.500 0.000
0.500 0.500 0.500
```

total DFT energy (no corrections)	-131.4	eV for the cell shown
crystal system	tetragonal
ρ	12.63	g/cm³
E_form	-0.11	eV/atom
total magnetic moment	0.0	μB/f.u.
Fermi-level density of states	2.83	states/eV per cell



Compound: Zn2RuAu
Source: Alexandria
Functional: meta-GGA SCAN
Structure: single point on PBEsol structure

```
Zn2RuAu
1.0
2.796 0.000 0.000
0.000 2.796 0.000
0.000 0.000 7.287
Zn Ru Au
2 1 1
Direct
0.000 0.000 0.234
0.000 0.000 0.766
0.500 0.500 0.000
0.500 0.500 0.500
```

total DFT energy (no corrections)	-131.2	eV for the cell shown
crystal system	tetragonal
ρ	12.50	g/cm³
E_form	-0.05	eV/atom
total magnetic moment	0.0	μB/f.u.
Fermi-level density of states	2.97	states/eV per cell



Compound: ZnRuAu2
Source: Alexandria
Functional: meta-GGA SCAN
Structure: single point on PBEsol structure

```
ZnRuAu2
1.0
4.144 0.000 0.000
0.000 1.340 5.509
0.000 -1.340 5.509
Zn Ru Au
1 1 2
Direct
0.000 0.000 0.000
0.500 0.595 0.595
0.000 0.232 0.232
0.500 0.862 0.862
```

total DFT energy (no corrections)	-186.1	eV for the cell shown
crystal system	orthorhombic
ρ	15.21	g/cm³
E_form	0.14	eV/atom
total magnetic moment	0.0	μB/f.u.
Fermi-level density of states	2.34	states/eV per cell



Compound: ZnRuAu3
Source: Alexandria
Functional: meta-GGA SCAN
Structure: single point on PBEsol structure

```
ZnRuAu3
1.0
4.613 0.000 0.000
0.000 4.613 0.000
0.000 0.000 4.613
Zn Ru Au
1 1 3
Direct
0.000 0.000 0.000
0.500 0.500 0.500
0.000 0.000 0.500
0.000 0.500 0.000
0.500 0.000 0.000
```

total DFT energy (no corrections)	-250.9	eV for the cell shown
crystal system	cubic
ρ	12.82	g/cm³
E_form	0.99	eV/atom
total magnetic moment	2.6	μB/f.u.
Fermi-level density of states	3.45	states/eV per cell



Compound: ZnRuAu2
Source: Alexandria
Functional: meta-GGA SCAN
Structure: single point on PBEsol structure

```
ZnRuAu2
1.0
4.600 -1.365 0.000
4.600 1.365 0.000
-0.971 0.000 4.832
Zn Ru Au
1 1 2
Direct
0.000 0.000 0.000
0.738 0.738 0.232
0.253 0.253 0.747
0.491 0.491 0.479
```

total DFT energy (no corrections)	-186.2	eV for the cell shown
crystal system	monoclinic
ρ	15.34	g/cm³
E_form	0.12	eV/atom
total magnetic moment	0.7	μB/f.u.
Fermi-level density of states	2.53	states/eV per cell



Compound: Zn2RuAu
Source: Alexandria
Functional: meta-GGA SCAN
Structure: single point on PBEsol structure

```
Zn2RuAu
1.0
3.138 0.000 0.000
0.000 3.138 0.000
0.000 0.000 5.796
Zn Ru Au
2 1 1
Direct
0.000 0.000 0.000
0.500 0.500 0.248
0.500 0.500 0.785
0.000 0.000 0.495
```

total DFT energy (no corrections)	-130.8	eV for the cell shown
crystal system	tetragonal
ρ	12.47	g/cm³
E_form	0.05	eV/atom
total magnetic moment	0.0	μB/f.u.
Fermi-level density of states	2.15	states/eV per cell